Computed, not measured: crystalline MgMnRh at its relaxed geometry at the PBE level of DFT.

## Properties
Formation energy, eV per formula unit: -0.14
SG: No. 2

a b c (Å): 4.518 7.074 2.867
angles (deg): 78.36 90.06 102.94
Atoms (fractional coordinates):
Mg  0.887  0.337  0.760
Mg  0.469  0.593  0.630
Mn  0.857  0.976  0.440
Mn  0.499  0.954  0.950
Rh  0.011  0.709  0.073
Rh  0.344  0.221  0.317